Entry 1:
{
  "formula": "ZrSiPd",
  "functional": "PBEsol",
  "state": "relaxed",
  "cell": [[3.869, 0.000, 0.000], [0.000, 6.574, 0.000], [0.000, 0.000, 7.564]],
  "species": ["Si", "Pd", "Zr", "Pd", "Pd", "Si", "Zr", "Si", "Si", "Pd", "Zr", "Zr"],
  "fractional_positions": [[0.750, 0.738, 0.623], [0.250, 0.643, 0.439], [0.750, 0.973, 0.320], [0.250, 0.143, 0.061], [0.750, 0.357, 0.561], [0.250, 0.762, 0.123], [0.750, 0.473, 0.180], [0.250, 0.262, 0.377], [0.750, 0.238, 0.877], [0.750, 0.857, 0.939], [0.250, 0.027, 0.680], [0.250, 0.527, 0.820]],
  "raw_formation_energy_kj_per_mol_fu": -314.7,
  "dft_energy_ev_per_atom": -8.0190
}

Entry 2:
{
  "formula": "Zr2Si2Pd",
  "functional": "PBEsol",
  "state": "relaxed",
  "cell": [[-1.255, 1.881, 3.339], [-5.015, -3.972, 0.353], [3.454, -4.043, 3.575]],
  "species": ["Si", "Pd", "Si", "Si", "Zr", "Zr", "Zr", "Si", "Pd", "Zr"],
  "fractional_positions": [[0.000, 0.630, 0.130], [0.000, 0.500, 0.500], [0.000, 0.870, 0.630], [0.000, 0.370, 0.870], [0.500, 0.328, 0.172], [0.500, 0.172, 0.672], [0.500, 0.672, 0.828], [0.000, 0.130, 0.370], [0.000, 0.000, 0.000], [0.500, 0.828, 0.328]],
  "raw_formation_energy_kj_per_mol_fu": -482.8,
  "dft_energy_ev_per_atom": -8.1271
}

Entry 3:
{
  "formula": "SmPd3",
  "functional": "PBEsol",
  "state": "relaxed",
  "cell": [[4.091, 0.000, 0.000], [0.000, 4.091, 0.000], [0.000, 0.000, 4.091]],
  "species": ["Pd", "Sm", "Pd", "Pd"],
  "fractional_positions": [[0.500, 0.000, 0.500], [0.000, 0.000, 0.000], [0.000, 0.500, 0.500], [0.500, 0.500, 0.000]],
  "dft_energy_ev_per_atom": -6.5576
}

Entry 4:
{
  "formula": "Sm3Pd4",
  "functional": "PBEsol",
  "state": "relaxed",
  "cell": [[-1.669, -5.456, -0.299], [2.206, 0.907, 7.543], [-6.465, 4.083, -2.027]],
  "species": ["Sm", "Pd", "Sm", "Sm", "Pd", "Pd", "Pd", "Sm", "Sm", "Pd", "Pd", "Pd", "Pd", "Sm"],
  "fractional_positions": [[0.720, 0.125, 0.747], [0.552, 0.328, 0.493], [0.595, 0.622, 0.875], [0.027, 0.747, 0.622], [0.059, 0.507, 0.836], [0.223, 0.164, 0.672], [0.941, 0.493, 0.164], [0.405, 0.378, 0.125], [0.973, 0.253, 0.378], [0.777, 0.836, 0.328], [0.500, 0.000, 0.000], [0.000, 0.000, 0.000], [0.448, 0.672, 0.507], [0.280, 0.875, 0.253]],
  "dft_energy_ev_per_atom": -6.4118
}